Here is an optimized crystal structure of NaSr2BPd from Alexandria. Energies are from GGA-PBE.

Cell: 5.8405 5.8405 4.2626 Å, 90.00 90.00 90.00°
With the nearest neighbours (Å) after each atom.
Space group P4/mmm (No. 123)
Symmetry-distinct sites (fractional):
Na: 0.0000 0.0000 0.0000 x1  2 B 2.13
Sr: 0.0000 0.5000 0.0000 x2  2 Na 2.92
B: 0.0000 0.0000 0.5000 x1  2 Na 2.13
Pd: 0.5000 0.5000 0.5000 x1  8 Sr 3.62

Output
Total energy: -2.381 eV per atom
Formation energy from the elements: 0.930 eV/atom

=====

Here is an optimized crystal structure of Na2SrBPd from Alexandria. Energies are from GGA-PBE.

Cell: 5.2450 5.2450 5.8080 Å, 90.00 90.00 90.00°
With the nearest neighbours (Å) after each atom.
Space group P4/mmm (No. 123)
Symmetry-distinct sites (fractional):
Na: 0.0000 0.5000 0.0000 x2  2 Pd 2.62
Sr: 0.0000 0.0000 0.5000 x1  2 Pd 2.90
B: 0.5000 0.5000 0.5000 x1  4 Sr 3.71, 8 Na 3.91
Pd: 0.0000 0.0000 0.0000 x1  4 Na 2.62, 2 Sr 2.90

Output
Total energy: -2.404 eV per atom
Formation energy from the elements: 0.834 eV/atom

=====

Here is an optimized crystal structure of Na2TlB2Pd5 from Alexandria. Energies are from GGA-PBE.

Cell: 10.1073 10.1073 3.0438 Å, 90.00 90.00 90.00°
With the nearest neighbours (Å) after each atom.
Space group P4/mbm (No. 127)
Symmetry-distinct sites (fractional):
Na: 0.1788 0.3212 0.0000 x4  3 B 2.87-3.08, 10 Pd 2.97-3.06, 2 Na 3.04
Tl: 0.0000 0.0000 0.0000 x2  8 Pd 2.90, 2 Tl 3.04
B: 0.1203 0.6203 0.0000 x4  6 Pd 2.18-2.30
Pd: 0.0000 0.5000 0.5000 x2  4 B 2.30
Pd: 0.0688 0.7660 0.5000 x8  2 B 2.18

Output
Total energy: -4.654 eV per atom
Formation energy from the elements: -0.221 eV/atom

=====

Here is an optimized crystal structure of NaPrB12 from Alexandria. Energies are from GGA-PBE.

Cell: 8.3133 8.3133 8.3133 Å, 90.00 90.00 90.00°
With the nearest neighbours (Å) after each atom.
Space group Fm-3m (No. 225)
Symmetry-distinct sites (fractional):
Na: 0.0000 0.0000 0.0000 x4  24 B 3.06
Pr: 0.0000 0.0000 0.5000 x4  24 B 3.06
B: 0.1008 0.2500 0.2500 x48  5 B 1.68-1.75

Output
Total energy: -6.485 eV per atom
Formation energy from the elements: -0.325 eV/atom